(1)
# CsKBa3

A relaxed structure of CsKBa3 (GGA-PBE, Alexandria).

Cell: 7.2549 7.2549 7.2549 Å, 90.00 90.00 90.00°
Closest atoms and distances in Å follow each position.
Element x y z (fractional)
Cs (0.0000, 0.0000, 0.0000)  6 Ba 3.63
K (0.5000, 0.5000, 0.5000)  12 Ba 5.13
Ba (0.0000, 0.5000, 0.0000)  2 Cs 3.63
Ba (0.0000, 0.0000, 0.5000)  2 Cs 3.63
Ba (0.5000, 0.0000, 0.0000)  2 Cs 3.63

**Total moment**: 0.7778 μB per atom
**Calculated density**: 2.54 g cm⁻³
**Energy above the most stable polymorph in this dataset**: 110 meV per atom
**Energy**: -5.0 eV/cell


(2)
# CsKBa2

A relaxed structure of CsKBa2 (GGA-PBE, Alexandria).

Cell: 7.5307 6.3041 6.3041 Å, 90.00 90.00 90.00°
Closest atoms and distances in Å follow each position.
Element x y z (fractional)
Cs (0.5000, 0.0000, 0.0000)  4 K 4.46, 8 Ba 4.91
K (0.5000, 0.5000, 0.5000)  4 Cs 4.46, 8 Ba 4.91
Ba (0.0000, 0.0000, 0.5000)  4 Ba 4.46, 4 K 4.91, 4 Cs 4.91
Ba (0.0000, 0.5000, 0.0000)  4 Ba 4.46, 4 K 4.91, 4 Cs 4.91

**Total moment**: 0.0000 μB per atom
**Calculated density**: 2.48 g cm⁻³
**Energy above the most stable polymorph in this dataset**: 0 meV per atom
**Energy**: -5.2 eV/cell


(3)
# CsKBa3

A relaxed structure of CsKBa3 (GGA-PBE, Alexandria).

Cell: 7.5009 7.5009 7.5009 Å, 90.00 90.00 90.00°
Closest atoms and distances in Å follow each position.
Element x y z (fractional)
Cs (0.5000, 0.5000, 0.5000)  12 Ba 5.30
K (0.0000, 0.0000, 0.0000)  6 Ba 3.75
Ba (0.0000, 0.5000, 0.0000)  2 K 3.75
Ba (0.0000, 0.0000, 0.5000)  2 K 3.75
Ba (0.5000, 0.0000, 0.0000)  2 K 3.75

**Total moment**: 0.3670 μB per atom
**Calculated density**: 2.30 g cm⁻³
**Energy above the most stable polymorph in this dataset**: 0 meV per atom
**Energy**: -5.5 eV/cell


(4)
# Cs2KBa2

A relaxed structure of Cs2KBa2 (GGA-PBE, Alexandria).

Cell: 13.6890 13.6890 4.7319 Å, 90.00 90.00 90.00°
Closest atoms and distances in Å follow each position.
Element x y z (fractional)
Cs (0.1830, 0.6830, 0.5000)  6 Ba 4.64-4.77, 2 Cs 4.73
Cs (0.6830, 0.8170, 0.5000)  6 Ba 4.64-4.77, 2 Cs 4.73
Cs (0.8170, 0.3170, 0.5000)  6 Ba 4.64-4.77, 2 Cs 4.73
Cs (0.3170, 0.1830, 0.5000)  6 Ba 4.64-4.77, 2 Cs 4.73
K (0.0000, 0.0000, 0.0000)  2 K 4.73
K (0.5000, 0.5000, 0.0000)  2 K 4.73
Ba (0.3891, 0.8891, 0.0000)  3 Ba 4.29-4.73, 6 Cs 4.64-4.77
Ba (0.8891, 0.6109, 0.0000)  3 Ba 4.29-4.73, 6 Cs 4.64-4.77
Ba (0.6109, 0.1109, 0.0000)  3 Ba 4.29-4.73, 6 Cs 4.64-4.77
Ba (0.1109, 0.3891, 0.0000)  3 Ba 4.29-4.73, 6 Cs 4.64-4.77

**Total moment**: 0.0000 μB per atom
**Calculated density**: 2.17 g cm⁻³
**Energy above the most stable polymorph in this dataset**: 0 meV per atom
**Energy**: -10.9 eV/cell